(1)
GaBi2Br at its PBEsol-relaxed geometry. Source: Alexandria via LeMat-Bulk, functional meta-GGA SCAN.

Cell: 5.2278 5.2278 5.2278 Å, 60.00 60.00 60.00°
Last column: nearest neighbours and their distance in Å.
Fractional positions:
Ga: 0.0000 0.0000 0.0000  8 Bi 3.20
Bi: 0.2500 0.2500 0.2500  4 Br 3.20, 4 Ga 3.20
Bi: 0.7500 0.7500 0.7500  4 Br 3.20, 4 Ga 3.20
Br: 0.5000 0.5000 0.5000  8 Bi 3.20

Values from the calculation:
space-group type: Fm-3m (225)
E_tot: -48.083 eV per atom
theoretical density: 9.3 g/cm³


(2)
GaBiBr2 at its PBEsol-relaxed geometry. Source: Alexandria via LeMat-Bulk, functional meta-GGA SCAN.

Cell: 6.7027 6.7027 6.7027 Å, 104.51 104.51 119.93°
Last column: nearest neighbours and their distance in Å.
Fractional positions:
Ga: 0.0000 0.0000 0.0000  4 Br 3.04, 2 Bi 3.35
Ga: 0.7500 0.2500 0.5000  4 Br 3.04, 2 Bi 3.35
Bi: 0.2500 0.7500 0.5000  4 Br 3.00, 2 Ga 3.35
Bi: 0.5000 0.5000 0.0000  4 Br 3.00, 2 Ga 3.35
Br: 0.1286 0.1250 0.5036  2 Bi 3.00, 2 Ga 3.04, 2 Br 3.36
Br: 0.3750 0.8714 0.9964  2 Bi 3.00, 2 Ga 3.04, 2 Br 3.36
Br: 0.6214 0.6250 0.4964  2 Bi 3.00, 2 Ga 3.04, 2 Br 3.36
Br: 0.8750 0.3786 0.0036  2 Bi 3.00, 2 Ga 3.04, 2 Br 3.36

Values from the calculation:
space-group type: I-42d (122)
E_tot: -33.535 eV per atom
theoretical density: 6.4 g/cm³


(3)
Na2GaBiBr at its PBEsol-relaxed geometry. Source: Alexandria via LeMat-Bulk, functional meta-GGA SCAN.

Cell: 5.8159 5.8159 5.2374 Å, 90.00 90.00 90.00°
Last column: nearest neighbours and their distance in Å.
Fractional positions:
Na: 0.0000 0.5000 0.0000  2 Ga 2.91
Na: 0.5000 0.0000 0.0000  2 Ga 2.91
Ga: 0.0000 0.0000 0.0000  2 Br 2.62, 4 Na 2.91
Bi: 0.5000 0.5000 0.5000  8 Na 3.91, 4 Br 4.11
Br: 0.0000 0.0000 0.5000  2 Ga 2.62

Values from the calculation:
space-group type: P4/mmm (123)
E_tot: -24.359 eV per atom
theoretical density: 3.8 g/cm³


Let's list magnetic moment in order: 0.00, 0.00, 1.22 μB per formula unit.